--- P ---
Density functional theory data (PBE) for an optimized crystal structure of BiPt2C.

Cell and atoms, written as CIF:
```
data_BiPt2C
_space_group_name_H-M_alt 'I -4 2 d'
_space_group_IT_number 122
_space_group_name_Hall 'I -4 2bw'
_cell_length_a 5.138
_cell_length_b 5.138
_cell_length_c 11.883
_cell_angle_alpha 90.00
_cell_angle_beta 90.00
_cell_angle_gamma 90.00
loop_
_atom_site_label
_atom_site_type_symbol
_atom_site_fract_x
_atom_site_fract_y
_atom_site_fract_z
Bi1 Bi 0.000 0.000 0.000
Pt1 Pt 0.113 0.250 0.625
C1 C 0.000 0.000 0.500
```

---

--- Q ---
Density functional theory data (PBE) for an optimized crystal structure of BiPt2C.

Cell and atoms, written as CIF:
```
data_BiPt2C
_space_group_name_H-M_alt 'F m -3 m'
_space_group_IT_number 225
_space_group_name_Hall '-F 4 2 3'
_cell_length_a 6.481
_cell_length_b 6.481
_cell_length_c 6.481
_cell_angle_alpha 90.00
_cell_angle_beta 90.00
_cell_angle_gamma 90.00
loop_
_atom_site_label
_atom_site_type_symbol
_atom_site_fract_x
_atom_site_fract_y
_atom_site_fract_z
Bi1 Bi 0.000 0.000 0.000
Pt1 Pt 0.250 0.250 0.250
C1 C 0.000 0.000 0.500
```

---

Tell me which of them is the most stable. Sure, it is P.